No. 1
# BaGaPt3 PBE relaxed
data_BaGaPt3
_chemical_formula_sum 'Ba1 Ga1 Pt3'
_symmetry_space_group_name_H-M 'P 1'
_symmetry_Int_Tables_number 1
_cell_length_a 4.855
_cell_length_b 4.855
_cell_length_c 4.855
_cell_angle_alpha 90.00
_cell_angle_beta 90.00
_cell_angle_gamma 90.00
loop_
_symmetry_equiv_pos_as_xyz
'x,y,z'
loop_
_atom_site_label
_atom_site_type_symbol
_atom_site_fract_x
_atom_site_fract_y
_atom_site_fract_z
Ba1 Ba 0.000 0.000 0.000
Ga1 Ga 0.500 0.500 0.500
Pt1 Pt 0.000 0.500 0.500
Pt2 Pt 0.500 0.000 0.500
Pt3 Pt 0.500 0.500 0.000
# Formation enthalpy at 0 K (eV per atom): -0.303
# Space-group type: No. 221

No. 2
# Si23Ru3 PBE relaxed
data_Si23Ru3
_chemical_formula_sum 'Si46 Ru6'
_symmetry_space_group_name_H-M 'P 1'
_symmetry_Int_Tables_number 1
_cell_length_a 10.074
_cell_length_b 10.074
_cell_length_c 10.074
_cell_angle_alpha 90.00
_cell_angle_beta 90.00
_cell_angle_gamma 90.00
loop_
_symmetry_equiv_pos_as_xyz
'x,y,z'
loop_
_atom_site_label
_atom_site_type_symbol
_atom_site_fract_x
_atom_site_fract_y
_atom_site_fract_z
Si1 Si 0.000 0.115 0.312
Si2 Si 0.000 0.115 0.688
Si3 Si 0.000 0.250 0.500
Si4 Si 0.000 0.750 0.500
Si5 Si 0.000 0.885 0.312
Si6 Si 0.000 0.885 0.688
Si7 Si 0.115 0.312 0.000
Si8 Si 0.115 0.688 0.000
Si9 Si 0.184 0.184 0.184
Si10 Si 0.184 0.184 0.816
Si11 Si 0.184 0.816 0.184
Si12 Si 0.184 0.816 0.816
Si13 Si 0.188 0.385 0.500
Si14 Si 0.188 0.615 0.500
Si15 Si 0.250 0.500 0.000
Si16 Si 0.312 0.000 0.115
Si17 Si 0.312 0.000 0.885
Si18 Si 0.316 0.316 0.316
Si19 Si 0.316 0.316 0.684
Si20 Si 0.316 0.684 0.316
Si21 Si 0.316 0.684 0.684
Si22 Si 0.385 0.500 0.188
Si23 Si 0.385 0.500 0.812
Si24 Si 0.500 0.000 0.250
Si25 Si 0.500 0.000 0.750
Si26 Si 0.500 0.188 0.385
Si27 Si 0.500 0.188 0.615
Si28 Si 0.500 0.812 0.385
Si29 Si 0.500 0.812 0.615
Si30 Si 0.615 0.500 0.188
Si31 Si 0.615 0.500 0.812
Si32 Si 0.684 0.316 0.316
Si33 Si 0.684 0.316 0.684
Si34 Si 0.684 0.684 0.316
Si35 Si 0.684 0.684 0.684
Si36 Si 0.688 0.000 0.115
Si37 Si 0.688 0.000 0.885
Si38 Si 0.750 0.500 0.000
Si39 Si 0.812 0.385 0.500
Si40 Si 0.812 0.615 0.500
Si41 Si 0.816 0.184 0.184
Si42 Si 0.816 0.184 0.816
Si43 Si 0.816 0.816 0.184
Si44 Si 0.816 0.816 0.816
Si45 Si 0.885 0.312 0.000
Si46 Si 0.885 0.688 0.000
Ru1 Ru 0.000 0.500 0.250
Ru2 Ru 0.000 0.500 0.750
Ru3 Ru 0.250 0.000 0.500
Ru4 Ru 0.500 0.250 0.000
Ru5 Ru 0.500 0.750 0.000
Ru6 Ru 0.750 0.000 0.500
# VASP energy (eV/f.u.): -137.65
# Space-group type: No. 223

No. 3
# KRbAc PBE relaxed
data_KRbAc
_chemical_formula_sum 'K2 Rb2 Ac2'
_symmetry_space_group_name_H-M 'P 1'
_symmetry_Int_Tables_number 1
_cell_length_a 4.199
_cell_length_b 4.199
_cell_length_c 21.518
_cell_angle_alpha 90.00
_cell_angle_beta 90.00
_cell_angle_gamma 90.00
loop_
_symmetry_equiv_pos_as_xyz
'x,y,z'
loop_
_atom_site_label
_atom_site_type_symbol
_atom_site_fract_x
_atom_site_fract_y
_atom_site_fract_z
K1 K 0.250 0.250 0.216
K2 K 0.750 0.750 0.784
Rb1 Rb 0.250 0.250 0.597
Rb2 Rb 0.750 0.750 0.403
Ac1 Ac 0.250 0.250 0.940
Ac2 Ac 0.750 0.750 0.060
# Formation enthalpy at 0 K (eV per atom): 0.133
# Space-group type: No. 129

No. 4
# RbSr2GaS4 PBE relaxed
data_RbSr2GaS4
_chemical_formula_sum 'Rb2 Sr4 Ga2 S8'
_symmetry_space_group_name_H-M 'P 1'
_symmetry_Int_Tables_number 1
_cell_length_a 8.560
_cell_length_b 8.560
_cell_length_c 8.604
_cell_angle_alpha 120.12
_cell_angle_beta 120.12
_cell_angle_gamma 88.37
loop_
_symmetry_equiv_pos_as_xyz
'x,y,z'
loop_
_atom_site_label
_atom_site_type_symbol
_atom_site_fract_x
_atom_site_fract_y
_atom_site_fract_z
Rb1 Rb 0.000 0.000 0.000
Rb2 Rb 0.000 0.000 0.500
Sr1 Sr 0.000 0.500 0.000
Sr2 Sr 0.500 0.000 0.500
Sr3 Sr 0.500 0.500 0.000
Sr4 Sr 0.500 0.500 0.500
Ga1 Ga 0.000 0.500 0.500
Ga2 Ga 0.500 0.000 0.000
S1 S 0.203 0.329 0.516
S2 S 0.259 0.740 0.479
S3 S 0.260 0.741 0.021
S4 S 0.329 0.203 0.016
S5 S 0.671 0.797 0.984
S6 S 0.740 0.259 0.979
S7 S 0.741 0.260 0.521
S8 S 0.797 0.671 0.484
# VASP energy (eV/f.u.): -33.87
# Space-group type: No. 15

No. 5
# Rb3BaMg PBE relaxed
data_Rb3BaMg
_chemical_formula_sum 'Rb3 Ba1 Mg1'
_symmetry_space_group_name_H-M 'P 1'
_symmetry_Int_Tables_number 1
_cell_length_a 7.332
_cell_length_b 7.332
_cell_length_c 7.332
_cell_angle_alpha 90.00
_cell_angle_beta 90.00
_cell_angle_gamma 90.00
loop_
_symmetry_equiv_pos_as_xyz
'x,y,z'
loop_
_atom_site_label
_atom_site_type_symbol
_atom_site_fract_x
_atom_site_fract_y
_atom_site_fract_z
Rb1 Rb 0.000 0.000 0.500
Rb2 Rb 0.000 0.500 0.000
Rb3 Rb 0.500 0.000 0.000
Ba1 Ba 0.500 0.500 0.500
Mg1 Mg 0.000 0.000 0.000
# Formation enthalpy at 0 K (eV per atom): 0.321
# Space-group type: No. 221

No. 6
# Cu3PPt PBE relaxed
data_Cu3PPt
_chemical_formula_sum 'Cu3 P1 Pt1'
_symmetry_space_group_name_H-M 'P 1'
_symmetry_Int_Tables_number 1
_cell_length_a 4.252
_cell_length_b 4.252
_cell_length_c 4.252
_cell_angle_alpha 90.00
_cell_angle_beta 90.00
_cell_angle_gamma 90.00
loop_
_symmetry_equiv_pos_as_xyz
'x,y,z'
loop_
_atom_site_label
_atom_site_type_symbol
_atom_site_fract_x
_atom_site_fract_y
_atom_site_fract_z
Cu1 Cu 0.000 0.000 0.500
Cu2 Cu 0.000 0.500 0.000
Cu3 Cu 0.500 0.000 0.000
P1 P 0.000 0.000 0.000
Pt1 Pt 0.500 0.500 0.500
# Formation enthalpy at 0 K (eV per atom): 0.306
# Space-group type: No. 221

What did the third record say?
# KRbAc PBE relaxed
data_KRbAc
_chemical_formula_sum 'K2 Rb2 Ac2'
_symmetry_space_group_name_H-M 'P 1'
_symmetry_Int_Tables_number 1
_cell_length_a 4.199
_cell_length_b 4.199
_cell_length_c 21.518
_cell_angle_alpha 90.00
_cell_angle_beta 90.00
_cell_angle_gamma 90.00
loop_
_symmetry_equiv_pos_as_xyz
'x,y,z'
loop_
_atom_site_label
_atom_site_type_symbol
_atom_site_fract_x
_atom_site_fract_y
_atom_site_fract_z
K1 K 0.250 0.250 0.216
K2 K 0.750 0.750 0.784
Rb1 Rb 0.250 0.250 0.597
Rb2 Rb 0.750 0.750 0.403
Ac1 Ac 0.250 0.250 0.940
Ac2 Ac 0.750 0.750 0.060
# Formation enthalpy at 0 K (eV per atom): 0.133
# Space-group type: No. 129